[1]
RbIBrO2: relaxed, PBE-GGA.

Output
The calculation puts the energy relative to the lowest polymorph listed for this composition at 0 meV/atom. The uncorrected formation energy comes out at 0.2012 eV per atom.

Cell lengths 4.5489, 4.5489, 5.7147 Å; angles 90.00, 90.00, 90.00 degrees
Last column: nearest neighbours and their distance in Å.
Space group P4/mmm (No. 123)
Inequivalent atoms, fractional coordinates:
Rb1 0.0000 0.0000 0.0000 [1 per cell]  4 I 3.22
I1 0.5000 0.5000 0.0000 [1 per cell]  2 Br 2.86
Br1 0.5000 0.5000 0.5000 [1 per cell]  4 O 2.27
O1 0.0000 0.5000 0.5000 [2 per cell]  2 Br 2.27

[2]
CoP2OsS: relaxed, PBE-GGA.

Output
The calculation puts the energy relative to the lowest polymorph listed for this composition at 0 meV/atom. The uncorrected formation energy comes out at 1.0148 eV per atom.

Cell lengths 4.2076, 4.2076, 4.3204 Å; angles 90.00, 90.00, 90.00 degrees
Last column: nearest neighbours and their distance in Å.
Space group P4/mmm (No. 123)
Inequivalent atoms, fractional coordinates:
Co1 0.0000 0.0000 0.0000 [1 per cell]  4 P 2.10, 2 S 2.16
P1 0.0000 0.5000 0.0000 [2 per cell]  2 Co 2.10
Os1 0.5000 0.5000 0.5000 [1 per cell]  4 S 2.98, 8 P 3.02
S1 0.0000 0.0000 0.5000 [1 per cell]  2 Co 2.16